Here is ScNiBr3 after structural relaxation from the Alexandria database. Energies are from PBE.

The structure in CIF format:
```
data_ScNiBr3
_cell_length_a 4.911
_cell_length_b 4.911
_cell_length_c 4.911
_cell_angle_alpha 90.00
_cell_angle_beta 90.00
_cell_angle_gamma 90.00
_symmetry_space_group_name_H-M 'P m -3 m'
_symmetry_Int_Tables_number 221
_symmetry_space_group_name_Hall '-P 4 2 3'
loop_
_atom_site_label
_atom_site_fract_x
_atom_site_fract_y
_atom_site_fract_z
Sc1 0.000 0.000 0.000
Ni1 0.500 0.500 0.500
Br1 0.000 0.500 0.500
```

Properties
E above lowest polymorph: 0.53 eV/f.u.
E_form (uncorrected): -0.24 eV/atom